No. 1
Entry from the Alexandria database: an optimized crystal structure of SrLiSb2 (PBE-GGA).

Computed properties:
The value obtained for the distance to the lowest polymorph of the same formula is 277 meV per atom. Its formation energy without anion corrections is -327 meV/atom. Its electronic total energy is -0.2416 Ry/atom.

```
data_SrLiSb2
_chemical_formula_sum 'Sr4 Li4 Sb8'
_space_group_name_H-M_alt 'F -4 3 m'
_space_group_IT_number 216
_space_group_name_Hall 'F -4 2 3'
_cell_length_a 7.703
_cell_length_b 7.703
_cell_length_c 7.703
_cell_angle_alpha 90.00
_cell_angle_beta 90.00
_cell_angle_gamma 90.00
loop_
_atom_site_label
_atom_site_type_symbol
_atom_site_fract_x
_atom_site_fract_y
_atom_site_fract_z
Sr1 Sr 0.000 0.000 0.000
Li1 Li 0.250 0.250 0.250
Sb1 Sb 0.000 0.000 0.500
Sb2 Sb 0.250 0.250 0.750
```

---

No. 2
Entry from the Alexandria database: an optimized crystal structure of NaFe2Pd (PBE-GGA).

Computed properties:
The value obtained for the distance to the lowest polymorph of the same formula is 160 meV per atom. Its electronic total energy is -0.3784 Ry/atom. The calculation puts the formation enthalpy at 0 K at 0.71 eV/atom.

```
data_NaFe2Pd
_chemical_formula_sum 'Na4 Fe8 Pd4'
_space_group_name_H-M_alt 'I -4 2 d'
_space_group_IT_number 122
_space_group_name_Hall 'I -4 2bw'
_cell_length_a 7.263
_cell_length_b 7.263
_cell_length_c 5.237
_cell_angle_alpha 90.00
_cell_angle_beta 90.00
_cell_angle_gamma 90.00
loop_
_atom_site_label
_atom_site_type_symbol
_atom_site_fract_x
_atom_site_fract_y
_atom_site_fract_z
Na1 Na 0.000 0.000 0.000
Fe1 Fe 0.213 0.250 0.625
Pd1 Pd 0.000 0.000 0.500
```

---

No. 3
Entry from the Alexandria database: an optimized crystal structure of AcPr2NdSb4 (PBE-GGA).

Computed properties:
Its formation energy without anion corrections is -1183 meV/atom. Its electronic total energy is -0.4078 Ry/atom.

```
data_AcPr2NdSb4
_chemical_formula_sum 'Ac1 Pr2 Nd1 Sb4'
_space_group_name_H-M_alt 'P 1 2/m 1'
_space_group_IT_number 10
_cell_length_a 7.989
_cell_length_b 4.615
_cell_length_c 7.990
_cell_angle_alpha 90.00
_cell_angle_beta 109.43
_cell_angle_gamma 90.00
loop_
_space_group_symop_operation_xyz
'x,y,z'
'-x,-y,-z'
'-x,y,-z'
'x,-y,z'
loop_
_atom_site_label
_atom_site_type_symbol
_atom_site_fract_x
_atom_site_fract_y
_atom_site_fract_z
Ac1 Ac 0.000 0.000 0.000
Pr1 Pr 0.000 0.500 0.500
Pr2 Pr 0.500 0.000 0.500
Nd1 Nd 0.500 0.500 0.000
Sb1 Sb 0.255 0.000 0.747
Sb2 Sb 0.259 0.500 0.258
```

---

No. 4
Entry from the Alexandria database: an optimized crystal structure of LaCuP2 (PBE-GGA).

Computed properties:
Its electronic total energy is -0.3729 Ry/atom. The calculation puts the formation enthalpy at 0 K at -0.11 eV/atom.

```
data_LaCuP2
_chemical_formula_sum 'La4 Cu4 P8'
_space_group_name_H-M_alt 'F -4 3 m'
_space_group_IT_number 216
_space_group_name_Hall 'F -4 2 3'
_cell_length_a 6.751
_cell_length_b 6.751
_cell_length_c 6.751
_cell_angle_alpha 90.00
_cell_angle_beta 90.00
_cell_angle_gamma 90.00
loop_
_atom_site_label
_atom_site_type_symbol
_atom_site_fract_x
_atom_site_fract_y
_atom_site_fract_z
La1 La 0.000 0.000 0.000
Cu1 Cu 0.250 0.250 0.750
P1 P 0.000 0.000 0.500
P2 P 0.250 0.250 0.250
```